Material: La5Tb2PmTm
Method: DFT, PBE
State: relaxed

Cell lengths 9.7836, 9.7836, 9.7836 Å; angles 121.57, 121.57, 87.30 degrees
Positions (direct):
La  0.0000  0.0000  0.0000
La  0.0666  0.5666  0.9040
La  0.1627  0.0666  0.5000
La  0.3373  0.8373  0.9040
La  0.4334  0.3373  0.5000
La  0.5000  0.5000  0.0000
La  0.5666  0.6627  0.5000
La  0.6627  0.1627  0.0960
La  0.8373  0.9334  0.5000
La  0.9334  0.4334  0.0960
Tb  0.1083  0.3917  0.5000
Tb  0.3917  0.8917  0.2834
Tb  0.6083  0.1083  0.7166
Tb  0.8917  0.6083  0.5000
Pm  0.2500  0.2500  0.0000
Pm  0.7500  0.7500  0.0000
Tm  0.2500  0.7500  0.5000
Tm  0.7500  0.2500  0.5000

Calculated values
- formation energy from the elements (eV per atom) = 0.2887